[1]
CeP5 | PBE-GGA | optimized geometry

The total energy comes out at -6.01 eV/atom. The calculation puts the calculated formation energy at -508 meV per atom. The calculation puts the energy above the most stable polymorph in this dataset at 0 meV/atom.

It has space group P2_1/m (No. 11), with a = 4.5940 Å, b = 9.5712 Å, c = 5.5774 Å, α = 90.00°, β = 109.12° and γ = 90.00°. The asymmetric unit holds Ce at (0.0983, 0.2500, 0.4065), P at (0.2616, 0.2500, 0.9468), P at (0.2906, 0.5576, 0.3879) and P at (0.3673, 0.5948, 0.0192).

[2]
Be2FeAs | PBE-GGA | optimized geometry

The total energy comes out at -5.14 eV/atom. The calculation puts the calculated formation energy at 6 meV per atom. The calculation puts the energy above the most stable polymorph in this dataset at 0 meV/atom.

It has space group P4/mmm (No. 123), with a = 3.0459 Å, b = 3.0459 Å, c = 4.6224 Å, α = 90.00°, β = 90.00° and γ = 90.00°. The asymmetric unit holds Be at (0.0000, 0.0000, 0.2274), Fe at (0.5000, 0.5000, 0.0000) and As at (0.5000, 0.5000, 0.5000).

[3]
Dy3HoBi | PBE-GGA | optimized geometry

The total energy comes out at -4.58 eV/atom. The calculation puts the calculated formation energy at -130 meV per atom.

It has space group C2/m (No. 12), with a = 12.0650 Å, b = 5.7512 Å, c = 9.1462 Å, α = 90.00°, β = 90.11° and γ = 90.00°. The asymmetric unit holds Dy at (0.0942, 0.0000, 0.3393), Dy at (0.0970, 0.5000, 0.6603), Dy at (0.1113, 0.5000, 0.0927), Ho at (0.1133, 0.0000, 0.9106) and Bi at (0.2481, 0.0000, 0.6248).

[4]
SrLiEu2 | PBE-GGA | optimized geometry

The total energy comes out at -5.89 eV/atom. The calculation puts the calculated formation energy at 146 meV per atom. The calculation puts the energy above the most stable polymorph in this dataset at 95 meV/atom.

It has space group Fm-3m (No. 225), with a = 8.7472 Å, b = 8.7472 Å, c = 8.7472 Å, α = 90.00°, β = 90.00° and γ = 90.00°. The asymmetric unit holds Sr at (0.0000, 0.0000, 0.0000), Li at (0.0000, 0.0000, 0.5000) and Eu at (0.2500, 0.2500, 0.2500).

[5]
Dy2BeCu | PBE-GGA | optimized geometry

The total energy comes out at -4.33 eV/atom. The calculation puts the calculated formation energy at -76 meV per atom. The calculation puts the energy above the most stable polymorph in this dataset at 0 meV/atom.

It has space group P4/mmm (No. 123), with a = 3.4302 Å, b = 3.4302 Å, c = 6.8938 Å, α = 90.00°, β = 90.00° and γ = 90.00°. The asymmetric unit holds Dy at (0.0000, 0.0000, 0.2441), Be at (0.5000, 0.5000, 0.0000) and Cu at (0.5000, 0.5000, 0.5000).

[6]
KBaGa2Cl8 | PBE-GGA | optimized geometry

The total energy comes out at -3.46 eV/atom. For the uncorrected formation energy, the calculation gives -1.4714 eV per atom.

It has space group R-3 (No. 148, hexagonal axes), with a = 6.9136 Å, b = 6.9136 Å, c = 28.4386 Å, α = 90.00°, β = 90.00° and γ = 120.00°. The asymmetric unit holds K at (0.0000, 0.0000, 0.0000), Ba at (0.0000, 0.0000, 0.5000), Ga at (0.0000, 0.0000, 0.2569), Cl at (0.0000, 0.0000, 0.3358) and Cl at (0.0049, 0.6297, 0.5636).

[7]
Ac2CuAu3 | PBE-GGA | optimized geometry

The total energy comes out at -4.40 eV/atom. The calculation puts the calculated formation energy at -713 meV per atom.

It has space group Fmmm (No. 69), with a = 8.0557 Å, b = 9.4287 Å, c = 16.3727 Å, α = 90.00°, β = 90.00° and γ = 90.00°. The asymmetric unit holds Ac at (0.2481, 0.0000, 0.0000), Ac at (0.2500, 0.2500, 0.2500), Cu at (0.0000, 0.0000, 0.3333), Au at (0.0000, 0.0000, 0.1734) and Au at (0.0000, 0.2386, 0.4135).

[8]
LiMg2Cd | PBE-GGA | optimized geometry

The total energy comes out at -1.61 eV/atom. The calculation puts the calculated formation energy at -106 meV per atom.

It has space group Pm (No. 6), with a = 3.0417 Å, b = 4.7717 Å, c = 5.9134 Å, α = 90.00°, β = 103.82° and γ = 90.00°. The asymmetric unit holds Li at (0.0000, 0.0000, 0.0000), Mg at (0.4102, 0.0000, 0.5144), Mg at (0.7247, 0.5000, 0.2322) and Cd at (0.0946, 0.5000, 0.7575).